# MgCrN2F

A geometry-optimized MgCrN2F structure (PBE+U, Alexandria).

Summary:
For the offset from the most stable computed form, the calculation gives 0.0 meV per atom. The total moment is 1.49 μB per formula unit. The calculation puts the total DFT energy (no corrections) at -5.831 eV/atom.

Cell lengths 3.8173, 3.8173, 3.8573 Å; angles 90.00, 90.00, 90.00 degrees
Site moments in Bohr magnetons follow the coordinates.
Element x y z (fractional)
Cr: 0.0000 0.0000 0.0000  2.15
F: 0.0000 0.0000 0.5000  0.00
Mg: 0.5000 0.5000 0.5000  0.01
N: 0.0000 0.5000 0.0000  -0.28
N: 0.5000 0.0000 0.0000  -0.28